[1]
Material: Tm3Ge13Os4
Method: DFT, GGA-PBE
State: relaxed

Magnetization   0.0 μB/f.u.
N(E_F)   15.369 states/eV/cell
Volume   18.46 Å³/atom

abc: 9.0383 9.0383 9.0383
angles: 90.00 90.00 90.00
With the nearest neighbours (Å) after each atom.
Space group Pm-3n (No. 223)
One atom of each set of equivalent atoms:
Tm1 0.0000 0.2500 0.5000  12 Ge 3.18-3.24, 4 Os 3.20
Ge1 0.0000 0.0000 0.0000  12 Ge 3.01
Ge2 0.0000 0.2994 0.1447  2 Os 2.49, 1 Ge 2.62
Os1 0.2500 0.2500 0.2500  6 Ge 2.49

[2]
Material: TmGe3Os2
Method: DFT, GGA-PBE
State: relaxed

Magnetization   0.0 μB/f.u.
N(E_F)   9.719 states/eV/cell
Excess energy over the best structure of this formula in the dataset   0.000 eV/atom
Volume   17.57 Å³/atom

abc: 4.2627 11.6985 8.4552
angles: 90.00 90.00 90.00
With the nearest neighbours (Å) after each atom.
Space group Cmcm (No. 63)
One atom of each set of equivalent atoms:
Tm1 0.0000 0.1799 0.2500  8 Ge 2.92-3.26, 2 Os 2.98
Ge1 0.0000 0.1374 0.7500  4 Os 2.45-2.66
Ge2 0.0000 0.3749 0.5261  4 Os 2.57-2.65
Os1 0.0000 0.0000 0.0000  6 Ge 2.59-2.66
Os2 0.0000 0.4665 0.2500  6 Ge 2.45-2.65

In hartree per atom, the total energy values for the records above are, in order, -0.2295 -0.2605.